Below is a relaxed BaLa2CdO crystal, with properties calculated at the GGA-PBE level.

```
data_BaLa2CdO
_chemical_formula_sum 'Ba1 La2 Cd1 O1'
_cell_length_a 5.083
_cell_length_b 5.083
_cell_length_c 5.553
_cell_angle_alpha 90.00
_cell_angle_beta 90.00
_cell_angle_gamma 90.00
_space_group_name_H-M_alt 'P 1'
_space_group_IT_number 1
loop_
_space_group_symop_operation_xyz
'x,y,z'
loop_
_atom_site_label
_atom_site_type_symbol
_atom_site_fract_x
_atom_site_fract_y
_atom_site_fract_z
Cd1 Cd 0.500 0.500 0.500
Ba1 Ba 0.000 0.000 0.500
O1 O 0.000 0.000 0.000
La1 La 0.000 0.500 0.000
La2 La 0.500 0.000 0.000
```

Summary:
The formation energy (no corrections) is -1.16 eV/atom.